First-principles (PBE with a Hubbard U) data for an optimized crystal structure of CoBiS2O8, as listed in Alexandria via LeMat-Bulk.

## Properties
- DFT total energy (eV per atom) = -5.901
- M_tot (μB per cell) = 2.0

Geometry as POSCAR:
```
CoBiS2O8
1.0
5.208 0.000 0.000
-2.604 4.510 0.000
0.000 0.000 6.912
Co Bi S O
1 1 2 8
Cartesian
0.000 0.000 0.000
0.000 0.000 3.456
0.000 3.007 4.910
2.604 1.503 2.002
0.000 1.588 5.389
-1.229 3.716 5.389
0.000 3.007 3.422
1.375 0.794 1.523
1.229 3.716 5.389
2.604 1.503 3.490
3.833 0.794 1.523
2.604 2.922 1.523
```